First-principles (GGA+U) data for W2SeF after structural relaxation, as listed in Alexandria via LeMat-Bulk.

Summary:
Total energy in eV/atom: -4.31
Polymorph energy (0 for the lowest one) in eV/atom: 0.2672
Density of states at the Fermi level in states/eV/f.u.: 2.11
M_tot in Bohr magnetons per cell: 31.5

CIF file:
```
data_W2SeF
_symmetry_space_group_name_H-M 'F m -3 m'
_symmetry_Int_Tables_number 225
_symmetry_space_group_name_Hall '-F 4 2 3'
_cell_length_a 6.642
_cell_length_b 6.642
_cell_length_c 6.642
_cell_angle_alpha 90.00
_cell_angle_beta 90.00
_cell_angle_gamma 90.00
loop_
_atom_site_label
_atom_site_type_symbol
_atom_site_fract_x
_atom_site_fract_y
_atom_site_fract_z
_atom_site_occupancy
W1 W 0.250 0.250 0.250 1
Se1 Se 0.000 0.000 0.000 1
F1 F 0.000 0.000 0.500 1
```